[1]
Compound: RbBeTe2
Source: the Alexandria database
Functional: PBE
Structure: relaxed

Calculated values
E_form (uncorrected): -394 meV/atom
E: -3.14 eV/atom

a = 6.6781 Å, b = 6.6781 Å, c = 13.8051 Å
α = 90.00°, β = 90.00°, γ = 90.00°
Space group I-42d (No. 122)
Symmetry-distinct sites (fractional):
Rb: 0.0000 0.0000 0.0000 (multiplicity 4)
Be: 0.0000 0.0000 0.5000 (multiplicity 4)
Te: 0.0472 0.2500 0.6250 (multiplicity 8)



[2]
Compound: Ac2SiPdAu6
Source: the Alexandria database
Functional: PBE
Structure: relaxed

Calculated values
E_form (uncorrected): -536 meV/atom
E: -4.39 eV/atom

a = 12.3413 Å, b = 5.6215 Å, c = 8.8401 Å
α = 90.00°, β = 129.94°, γ = 90.00°
Space group C2/m (No. 12)
Symmetry-distinct sites (fractional):
Ac: 0.2257 0.0000 0.1932 (multiplicity 4)
Si: 0.0000 0.0000 0.5000 (multiplicity 2)
Pd: 0.0000 0.5000 0.0000 (multiplicity 2)
Au: 0.0114 0.2508 0.7435 (multiplicity 8)
Au: 0.2480 0.5000 0.3933 (multiplicity 4)



[3]
Compound: Na2HgPb5
Source: the Alexandria database
Functional: PBE
Structure: relaxed

Calculated values
E: -2.79 eV/atom

a = 7.1826 Å, b = 13.4982 Å, c = 4.7961 Å
α = 90.00°, β = 90.00°, γ = 90.00°
Space group Pbam (No. 55)
Symmetry-distinct sites (fractional):
Na: 0.2310 0.1192 0.0000 (multiplicity 4)
Hg: 0.0000 0.0000 0.5000 (multiplicity 2)
Pb: 0.0000 0.5000 0.5000 (multiplicity 2)
Pb: 0.0115 0.7497 0.5000 (multiplicity 4)
Pb: 0.2415 0.3726 0.0000 (multiplicity 4)



[4]
Compound: Li3Tl3CdCl8
Source: the Alexandria database
Functional: PBE
Structure: relaxed

Calculated values
E_form (uncorrected): -1314 meV/atom
E: -3.22 eV/atom

a = 13.5199 Å, b = 7.7939 Å, c = 8.6466 Å
α = 90.00°, β = 121.40°, γ = 90.00°
Space group C2/m (No. 12)
Symmetry-distinct sites (fractional):
Li: 0.0000 0.0000 0.0000 (multiplicity 2)
Li: 0.2500 0.2500 0.0000 (multiplicity 4)
Tl: 0.0000 0.5000 0.5000 (multiplicity 2)
Tl: 0.2500 0.2500 0.5000 (multiplicity 4)
Cd: 0.0000 0.5000 0.0000 (multiplicity 2)
Cl: 0.0193 0.2481 0.8071 (multiplicity 8)
Cl: 0.2304 0.0000 0.1904 (multiplicity 4)
Cl: 0.2320 0.5000 0.1926 (multiplicity 4)



[5]
Compound: Cr2SbP
Source: the Alexandria database
Functional: PBE
Structure: relaxed

Calculated values
E_form (uncorrected): 524 meV/atom
E: -6.67 eV/atom

a = 6.4489 Å, b = 6.4489 Å, c = 6.4489 Å
α = 90.00°, β = 90.00°, γ = 90.00°
Space group F-43m (No. 216)
Symmetry-distinct sites (fractional):
Cr: 0.0000 0.0000 0.0000 (multiplicity 4)
Cr: 0.2500 0.2500 0.2500 (multiplicity 4)
Sb: 0.2500 0.2500 0.7500 (multiplicity 4)
P: 0.0000 0.0000 0.5000 (multiplicity 4)



[6]
Compound: CuNiMo2
Source: the Alexandria database
Functional: PBE
Structure: relaxed

Calculated values
E: -7.74 eV/atom

a = 3.6782 Å, b = 3.6782 Å, c = 8.0612 Å
α = 90.00°, β = 90.00°, γ = 90.00°
Space group I4/mmm (No. 139)
Symmetry-distinct sites (fractional):
Cu: 0.0000 0.0000 0.0000 (multiplicity 2)
Ni: 0.0000 0.0000 0.5000 (multiplicity 2)
Mo: 0.0000 0.5000 0.2500 (multiplicity 4)



[7]
Compound: Ac3BeS6
Source: the Alexandria database
Functional: PBE
Structure: relaxed

Calculated values
E_form (uncorrected): -1741 meV/atom
E: -5.82 eV/atom

a = 11.9523 Å, b = 14.8645 Å, c = 6.1894 Å
α = 90.00°, β = 90.00°, γ = 90.00°
Space group Cmc2_1 (No. 36)
Symmetry-distinct sites (fractional):
Ac: 0.0000 0.1228 0.0000 (multiplicity 4)
Ac: 0.1759 0.3868 0.9365 (multiplicity 8)
Be: 0.0000 0.3056 0.3766 (multiplicity 4)
S: 0.0000 0.2844 0.7152 (multiplicity 4)
S: 0.0000 0.4428 0.2654 (multiplicity 4)
S: 0.1487 0.2417 0.2526 (multiplicity 8)
S: 0.1590 0.0099 0.7117 (multiplicity 8)



[8]
Compound: AlFe2HAu
Source: the Alexandria database
Functional: PBE
Structure: relaxed

Calculated values
E: -5.46 eV/atom
distance to the lowest polymorph of the same formula: 53.9 meV per atom

a = 3.7102 Å, b = 3.7102 Å, c = 4.2141 Å
α = 90.00°, β = 90.00°, γ = 90.00°
Space group P4/mmm (No. 123)
Symmetry-distinct sites (fractional):
Al: 0.0000 0.0000 0.0000 (multiplicity 1)
Fe: 0.0000 0.5000 0.5000 (multiplicity 2)
H: 0.5000 0.5000 0.5000 (multiplicity 1)
Au: 0.5000 0.5000 0.0000 (multiplicity 1)



[9]
Compound: Rb3CuTe2
Source: the Alexandria database
Functional: PBE
Structure: relaxed

Calculated values
E_form (uncorrected): -706 meV/atom
E: -2.92 eV/atom

a = 8.3202 Å, b = 14.0543 Å, c = 9.9431 Å
α = 90.00°, β = 90.00°, γ = 90.00°
Space group Ibam (No. 72)
Symmetry-distinct sites (fractional):
Rb: 0.0000 0.0000 0.2500 (multiplicity 4)
Rb: 0.0000 0.2887 0.2500 (multiplicity 8)
Cu: 0.0000 0.5000 0.0000 (multiplicity 4)
Te: 0.2400 0.3935 0.0000 (multiplicity 8)



[10]
Compound: Dy10In3Pb3
Source: the Alexandria database
Functional: PBE
Structure: relaxed

Calculated values
E: -4.54 eV/atom

a = 9.0239 Å, b = 9.0239 Å, c = 6.6829 Å
α = 90.00°, β = 90.00°, γ = 120.00°
Space group P-62m (No. 189)
Symmetry-distinct sites (fractional):
Dy: 0.0000 0.2359 0.0000 (multiplicity 3)
Dy: 0.0000 0.7644 0.5000 (multiplicity 3)
Dy: 0.3333 0.6667 0.2556 (multiplicity 4)
In: 0.0000 0.3992 0.5000 (multiplicity 3)
Pb: 0.0000 0.6013 0.0000 (multiplicity 3)



[11]
Compound: Ho4Ni3Pd
Source: the Alexandria database
Functional: PBE
Structure: relaxed

Calculated values
E: -5.68 eV/atom

a = 3.6683 Å, b = 4.3466 Å, c = 10.1827 Å
α = 90.00°, β = 90.00°, γ = 90.00°
Space group Pmm2 (No. 25)
Symmetry-distinct sites (fractional):
Ho: 0.0000 0.0000 0.0000 (multiplicity 1)
Ho: 0.0000 0.5000 0.2691 (multiplicity 1)
Ho: 0.5000 0.0000 0.4857 (multiplicity 1)
Ho: 0.5000 0.5000 0.7727 (multiplicity 1)
Ni: 0.0000 0.5000 0.5485 (multiplicity 1)
Ni: 0.5000 0.0000 0.2056 (multiplicity 1)
Ni: 0.5000 0.5000 0.0586 (multiplicity 1)
Pd: 0.0000 0.0000 0.7113 (multiplicity 1)



[12]
Compound: Y2MnHPb
Source: the Alexandria database
Functional: PBE
Structure: relaxed

Calculated values
E: -6.06 eV/atom

a = 4.8523 Å, b = 4.8523 Å, c = 4.2373 Å
α = 90.00°, β = 90.00°, γ = 90.00°
Space group P4/mmm (No. 123)
Symmetry-distinct sites (fractional):
Y: 0.0000 0.5000 0.0000 (multiplicity 2)
Mn: 0.0000 0.0000 0.5000 (multiplicity 1)
H: 0.0000 0.0000 0.0000 (multiplicity 1)
Pb: 0.5000 0.5000 0.5000 (multiplicity 1)



[13]
Compound: SbTe
Source: the Alexandria database
Functional: PBE
Structure: relaxed

Calculated values
E_form (uncorrected): 404 meV/atom
E: -3.23 eV/atom
distance to the lowest polymorph of the same formula: 509.3 meV per atom

a = 8.6793 Å, b = 8.6793 Å, c = 8.6793 Å
α = 90.00°, β = 90.00°, γ = 90.00°
Space group Pm-3n (No. 223)
Symmetry-distinct sites (fractional):
Sb: 0.0000 0.2500 0.5000 (multiplicity 6)
Te: 0.0000 0.5000 0.2500 (multiplicity 6)



[14]
Compound: YInNi2Pt
Source: the Alexandria database
Functional: PBE
Structure: relaxed

Calculated values
E: -4.47 eV/atom

a = 4.7160 Å, b = 4.7160 Å, c = 5.1765 Å
α = 90.00°, β = 90.00°, γ = 90.00°
Space group P4/mmm (No. 123)
Symmetry-distinct sites (fractional):
Y: 0.0000 0.0000 0.0000 (multiplicity 1)
In: 0.5000 0.5000 0.5000 (multiplicity 1)
Ni: 0.0000 0.5000 0.0000 (multiplicity 2)
Pt: 0.0000 0.0000 0.5000 (multiplicity 1)



[15]
Compound: Sr3Pd2
Source: the Alexandria database
Functional: PBE
Structure: relaxed

Calculated values
E: -3.58 eV/atom
distance to the lowest polymorph of the same formula: 13.7 meV per atom

a = 4.3804 Å, b = 7.1376 Å, c = 10.2126 Å
α = 90.00°, β = 90.00°, γ = 90.00°
Space group Immm (No. 71)
Symmetry-distinct sites (fractional):
Sr: 0.0000 0.0000 0.0000 (multiplicity 2)
Sr: 0.0000 0.5000 0.1874 (multiplicity 4)
Pd: 0.0000 0.1941 0.5000 (multiplicity 4)



[16]
Compound: Ti2Nb2Al
Source: the Alexandria database
Functional: PBE
Structure: relaxed

Calculated values
E: -7.95 eV/atom
distance to the lowest polymorph of the same formula: 99.0 meV per atom

a = 7.0180 Å, b = 7.0180 Å, c = 3.5698 Å
α = 90.00°, β = 90.00°, γ = 90.00°
Space group P4/mbm (No. 127)
Symmetry-distinct sites (fractional):
Ti: 0.1330 0.3670 0.0000 (multiplicity 4)
Nb: 0.1707 0.6707 0.5000 (multiplicity 4)
Al: 0.0000 0.0000 0.0000 (multiplicity 2)



[17]
Compound: Na2AcAu3
Source: the Alexandria database
Functional: PBE
Structure: relaxed

Calculated values
E: -3.28 eV/atom
distance to the lowest polymorph of the same formula: 0.0 meV per atom

a = 5.0318 Å, b = 5.0318 Å, c = 13.7982 Å
α = 90.00°, β = 90.00°, γ = 120.00°
Space group P-3m1 (No. 164)
Symmetry-distinct sites (fractional):
Na: 0.0000 0.0000 0.0000 (multiplicity 1)
Na: 0.0000 0.0000 0.5000 (multiplicity 1)
Na: 0.3333 0.6667 0.1348 (multiplicity 2)
Ac: 0.3333 0.6667 0.6754 (multiplicity 2)
Au: 0.0000 0.0000 0.2188 (multiplicity 2)
Au: 0.3333 0.6667 0.4382 (multiplicity 2)
Au: 0.3333 0.6667 0.9047 (multiplicity 2)



[18]
Compound: CuSbOs2
Source: the Alexandria database
Functional: PBE
Structure: relaxed

Calculated values
E_form (uncorrected): 564 meV/atom
E: -7.11 eV/atom

a = 8.7572 Å, b = 2.9742 Å, c = 4.9204 Å
α = 90.00°, β = 99.07°, γ = 90.00°
Space group Cm (No. 8)
Symmetry-distinct sites (fractional):
Cu: 0.0000 0.0000 0.0000 (multiplicity 2)
Sb: 0.2563 0.5000 0.2447 (multiplicity 2)
Os: 0.0103 0.5000 0.5503 (multiplicity 2)
Os: 0.2536 0.0000 0.7613 (multiplicity 2)



[19]
Compound: MnPdAu2
Source: the Alexandria database
Functional: PBE
Structure: relaxed

Calculated values
E: -5.41 eV/atom

a = 4.0190 Å, b = 4.0190 Å, c = 8.1589 Å
α = 90.00°, β = 90.00°, γ = 90.00°
Space group I-4m2 (No. 119)
Symmetry-distinct sites (fractional):
Mn: 0.0000 0.0000 0.0000 (multiplicity 2)
Pd: 0.0000 0.5000 0.7500 (multiplicity 2)
Au: 0.0000 0.0000 0.5000 (multiplicity 2)
Au: 0.0000 0.5000 0.2500 (multiplicity 2)



[20]
Compound: SrTaFe
Source: the Alexandria database
Functional: PBE
Structure: relaxed

Calculated values
E: -6.85 eV/atom
distance to the lowest polymorph of the same formula: 0.0 meV per atom

a = 3.2886 Å, b = 3.2886 Å, c = 12.3303 Å
α = 90.00°, β = 90.00°, γ = 90.00°
Space group I4mm (No. 107)
Symmetry-distinct sites (fractional):
Sr: 0.0000 0.0000 0.0000 (multiplicity 2)
Ta: 0.0000 0.0000 0.7248 (multiplicity 2)
Fe: 0.0000 0.0000 0.3013 (multiplicity 2)